# Pm6C3Se2 PBE-GGA optimized geometry
# - Fermi-level density of states (states/eV/f.u.) = 4.57
# - total magnetization (μB/atom) = 0.0909
# - E_form (uncorrected) (eV/atom) = -0.8109
# - electronic total energy (eV/atom) = -6.551
data_Pm6C3Se2
_chemical_formula_sum 'Pm12 C6 Se4'
_symmetry_space_group_name_H-M 'C 1 2/m 1'
_symmetry_Int_Tables_number 12
_symmetry_space_group_name_Hall '-C 2y'
_cell_length_a 6.627
_cell_length_b 11.490
_cell_length_c 7.237
_cell_angle_alpha 90.00
_cell_angle_beta 107.99
_cell_angle_gamma 90.00
loop_
_atom_site_label
_atom_site_type_symbol
_atom_site_fract_x
_atom_site_fract_y
_atom_site_fract_z
Pm1 Pm 0.232 0.169 0.203
Pm2 Pm 0.239 0.500 0.198
C1 C 0.000 0.000 0.000
C2 C 0.000 0.328 0.000
Se1 Se 0.000 0.165 0.500

***

# Al2CrCd PBE-GGA optimized geometry
# - Fermi-level density of states (states/eV/f.u.) = 2.34
# - total magnetization (μB/atom) = 0.7976
# - electronic total energy (eV/atom) = -3.991
data_Al2CrCd
_chemical_formula_sum 'Al8 Cr4 Cd4'
_symmetry_space_group_name_H-M 'I -4 2 d'
_symmetry_Int_Tables_number 122
_symmetry_space_group_name_Hall 'I -4 2bw'
_cell_length_a 7.432
_cell_length_b 7.432
_cell_length_c 5.547
_cell_angle_alpha 90.00
_cell_angle_beta 90.00
_cell_angle_gamma 90.00
loop_
_atom_site_label
_atom_site_type_symbol
_atom_site_fract_x
_atom_site_fract_y
_atom_site_fract_z
Al1 Al 0.235 0.250 0.125
Cr1 Cr 0.000 0.000 0.000
Cd1 Cd 0.000 0.000 0.500

***

# SrSc2Os PBE-GGA optimized geometry
# - Fermi-level density of states (states/eV/f.u.) = 2.62
# - total magnetization (μB/atom) = 0.0000
# - electronic total energy (eV/atom) = -5.742
# - ΔE to the lowest computed polymorph (eV/atom) = 0.793
data_SrSc2Os
_chemical_formula_sum 'Sr4 Sc8 Os4'
_symmetry_space_group_name_H-M 'I 41/a m d'
_symmetry_Int_Tables_number 141
_cell_length_a 7.421
_cell_length_b 7.421
_cell_length_c 12.027
_cell_angle_alpha 90.00
_cell_angle_beta 90.00
_cell_angle_gamma 90.00
loop_
_symmetry_equiv_pos_as_xyz
'x,y,z'
'-x,-y,-z'
'-y+1/4,x+3/4,z+1/4'
'y+1/4,-x+3/4,-z+1/4'
'-x+1/2,-y,z+1/2'
'x+1/2,y,-z+1/2'
'y+1/4,-x+1/4,z+3/4'
'-y+1/4,x+1/4,-z+3/4'
'x,-y,-z'
'-x,y,z'
'-y+1/4,-x+1/4,-z+3/4'
'y+1/4,x+1/4,z+3/4'
'-x+1/2,y,-z+1/2'
'x+1/2,-y,z+1/2'
'y+1/4,x+3/4,-z+1/4'
'-y+1/4,-x+3/4,z+1/4'
'x+1/2,y+1/2,z+1/2'
'-x+1/2,-y+1/2,-z+1/2'
'-y+3/4,x+1/4,z+3/4'
'y+3/4,-x+1/4,-z+3/4'
'-x,-y+1/2,z'
'x,y+1/2,-z'
'y+3/4,-x+3/4,z+1/4'
'-y+3/4,x+3/4,-z+1/4'
'x+1/2,-y+1/2,-z+1/2'
'-x+1/2,y+1/2,z+1/2'
'-y+3/4,-x+3/4,-z+1/4'
'y+3/4,x+3/4,z+1/4'
'-x,y+1/2,-z'
'x,-y+1/2,z'
'y+3/4,x+1/4,-z+3/4'
'-y+3/4,-x+1/4,z+3/4'
loop_
_atom_site_label
_atom_site_type_symbol
_atom_site_fract_x
_atom_site_fract_y
_atom_site_fract_z
Sr1 Sr 0.000 0.250 0.375
Sc1 Sc 0.000 0.000 0.000
Os1 Os 0.000 0.250 0.875

***

# UInAgAu PBE-GGA optimized geometry
# - Fermi-level density of states (states/eV/f.u.) = 9.68
# - total magnetization (μB/atom) = 0.6387
# - electronic total energy (eV/atom) = -5.054
data_UInAgAu
_chemical_formula_sum 'U4 In4 Ag4 Au4'
_symmetry_space_group_name_H-M 'F -4 3 m'
_symmetry_Int_Tables_number 216
_symmetry_space_group_name_Hall 'F -4 2 3'
_cell_length_a 7.056
_cell_length_b 7.056
_cell_length_c 7.056
_cell_angle_alpha 90.00
_cell_angle_beta 90.00
_cell_angle_gamma 90.00
loop_
_atom_site_label
_atom_site_type_symbol
_atom_site_fract_x
_atom_site_fract_y
_atom_site_fract_z
U1 U 0.000 0.000 0.000
In1 In 0.000 0.000 0.500
Ag1 Ag 0.250 0.250 0.750
Au1 Au 0.250 0.250 0.250

***

# Ac2Pr5Sm PBE-GGA optimized geometry
# - Fermi-level density of states (states/eV/f.u.) = 13.73
# - total magnetization (μB/atom) = 0.0000
# - electronic total energy (eV/atom) = -4.583
# - ΔE to the lowest computed polymorph (eV/atom) = 0.000
data_Ac2Pr5Sm
_chemical_formula_sum 'Ac4 Pr10 Sm2'
_symmetry_space_group_name_H-M 'P b a m'
_symmetry_Int_Tables_number 55
_symmetry_space_group_name_Hall '-P 2 2ab'
_cell_length_a 7.524
_cell_length_b 15.057
_cell_length_c 5.340
_cell_angle_alpha 90.00
_cell_angle_beta 90.00
_cell_angle_gamma 90.00
loop_
_atom_site_label
_atom_site_type_symbol
_atom_site_fract_x
_atom_site_fract_y
_atom_site_fract_z
Ac1 Ac 0.249 0.125 0.000
Pr1 Pr 0.000 0.500 0.500
Pr2 Pr 0.001 0.751 0.500
Pr3 Pr 0.249 0.376 0.000
Sm1 Sm 0.000 0.000 0.500

***

# KRbNaSn PBE-GGA optimized geometry
# - Fermi-level density of states (states/eV/f.u.) = 3.02
# - total magnetization (μB/atom) = 0.2450
# - electronic total energy (eV/atom) = -1.896
data_KRbNaSn
_chemical_formula_sum 'K4 Rb4 Na4 Sn4'
_symmetry_space_group_name_H-M 'F -4 3 m'
_symmetry_Int_Tables_number 216
_symmetry_space_group_name_Hall 'F -4 2 3'
_cell_length_a 8.562
_cell_length_b 8.562
_cell_length_c 8.562
_cell_angle_alpha 90.00
_cell_angle_beta 90.00
_cell_angle_gamma 90.00
loop_
_atom_site_label
_atom_site_type_symbol
_atom_site_fract_x
_atom_site_fract_y
_atom_site_fract_z
K1 K 0.000 0.000 0.000
Rb1 Rb 0.250 0.250 0.250
Na1 Na 0.000 0.000 0.500
Sn1 Sn 0.250 0.250 0.750

***

# MgHgOs2 PBE-GGA optimized geometry
# - Fermi-level density of states (states/eV/f.u.) = 2.67
# - total magnetization (μB/atom) = 0.0000
# - electronic total energy (eV/atom) = -5.899
# - ΔE to the lowest computed polymorph (eV/atom) = 0.000
data_MgHgOs2
_chemical_formula_sum 'Mg1 Hg1 Os2'
_symmetry_space_group_name_H-M 'P 4 m m'
_symmetry_Int_Tables_number 99
_symmetry_space_group_name_Hall 'P 4 -2'
_cell_length_a 2.888
_cell_length_b 2.888
_cell_length_c 8.153
_cell_angle_alpha 90.00
_cell_angle_beta 90.00
_cell_angle_gamma 90.00
loop_
_atom_site_label
_atom_site_type_symbol
_atom_site_fract_x
_atom_site_fract_y
_atom_site_fract_z
Mg1 Mg 0.000 0.000 0.000
Hg1 Hg 0.500 0.500 0.710
Os1 Os 0.000 0.000 0.437
Os2 Os 0.500 0.500 0.241

***

# In2Fe2Hg PBE-GGA optimized geometry
# - Fermi-level density of states (states/eV/f.u.) = 3.81
# - total magnetization (μB/atom) = 0.8369
# - electronic total energy (eV/atom) = -4.277
# - ΔE to the lowest computed polymorph (eV/atom) = 0.000
data_In2Fe2Hg
_chemical_formula_sum 'In4 Fe4 Hg2'
_symmetry_space_group_name_H-M 'P 4/m b m'
_symmetry_Int_Tables_number 127
_symmetry_space_group_name_Hall '-P 4 2ab'
_cell_length_a 7.069
_cell_length_b 7.069
_cell_length_c 3.634
_cell_angle_alpha 90.00
_cell_angle_beta 90.00
_cell_angle_gamma 90.00
loop_
_atom_site_label
_atom_site_type_symbol
_atom_site_fract_x
_atom_site_fract_y
_atom_site_fract_z
In1 In 0.170 0.330 0.000
Fe1 Fe 0.120 0.620 0.500
Hg1 Hg 0.000 0.000 0.500

***

# NiMo2Ir9 PBE-GGA optimized geometry
# - Fermi-level density of states (states/eV/f.u.) = 11.24
# - total magnetization (μB/atom) = 0.0000
# - electronic total energy (eV/atom) = -9.060
data_NiMo2Ir9
_chemical_formula_sum 'Ni1 Mo2 Ir9'
_symmetry_space_group_name_H-M 'P -1'
_symmetry_Int_Tables_number 2
_symmetry_space_group_name_Hall '-P 1'
_cell_length_a 4.744
_cell_length_b 6.106
_cell_length_c 6.706
_cell_angle_alpha 111.50
_cell_angle_beta 90.13
_cell_angle_gamma 104.77
loop_
_atom_site_label
_atom_site_type_symbol
_atom_site_fract_x
_atom_site_fract_y
_atom_site_fract_z
Ni1 Ni 0.000 0.000 0.000
Mo1 Mo 0.087 0.764 0.592
Ir1 Ir 0.164 0.495 0.170
Ir2 Ir 0.246 0.253 0.746
Ir3 Ir 0.330 0.996 0.331
Ir4 Ir 0.411 0.754 0.916
Ir5 Ir 0.500 0.500 0.500

***

# LaCu4Ag4 PBE-GGA optimized geometry
# - Fermi-level density of states (states/eV/f.u.) = 3.05
# - total magnetization (μB/atom) = 0.0000
# - electronic total energy (eV/atom) = -3.521
data_LaCu4Ag4
_chemical_formula_sum 'La2 Cu8 Ag8'
_symmetry_space_group_name_H-M 'P 42/n'
_symmetry_Int_Tables_number 86
_cell_length_a 8.390
_cell_length_b 8.390
_cell_length_c 4.699
_cell_angle_alpha 90.00
_cell_angle_beta 90.00
_cell_angle_gamma 90.00
loop_
_symmetry_equiv_pos_as_xyz
'x,y,z'
'-x,-y,-z'
'-y,x+1/2,z+1/2'
'y,-x+1/2,-z+1/2'
'-x+1/2,-y+1/2,z'
'x+1/2,y+1/2,-z'
'y+1/2,-x,z+1/2'
'-y+1/2,x,-z+1/2'
loop_
_atom_site_label
_atom_site_type_symbol
_atom_site_fract_x
_atom_site_fract_y
_atom_site_fract_z
La1 La 0.250 0.250 0.250
Cu1 Cu 0.048 0.141 0.748
Ag1 Ag 0.116 0.842 0.752

***

# Na3CeBi3Se8 PBE-GGA optimized geometry
# - total magnetization (μB/atom) = 0.0000
# - E_form (uncorrected) (eV/atom) = -0.9063
# - electronic total energy (eV/atom) = -4.200
data_Na3CeBi3Se8
_chemical_formula_sum 'Na6 Ce2 Bi6 Se16'
_symmetry_space_group_name_H-M 'C 1 2/m 1'
_symmetry_Int_Tables_number 12
_symmetry_space_group_name_Hall '-C 2y'
_cell_length_a 14.631
_cell_length_b 8.447
_cell_length_c 8.647
_cell_angle_alpha 90.00
_cell_angle_beta 124.39
_cell_angle_gamma 90.00
loop_
_atom_site_label
_atom_site_type_symbol
_atom_site_fract_x
_atom_site_fract_y
_atom_site_fract_z
Na1 Na 0.000 0.000 0.000
Na2 Na 0.250 0.250 0.000
Ce1 Ce 0.000 0.000 0.500
Bi1 Bi 0.000 0.500 0.500
Bi2 Bi 0.250 0.250 0.500
Se1 Se 0.005 0.244 0.271
Se2 Se 0.239 0.000 0.729
Se3 Se 0.246 0.500 0.739

***

# Ta2TlPd PBE-GGA optimized geometry
# - Fermi-level density of states (states/eV/f.u.) = 3.59
# - total magnetization (μB/atom) = 0.0000
# - electronic total energy (eV/atom) = -7.225
data_Ta2TlPd
_chemical_formula_sum 'Ta8 Tl4 Pd4'
_symmetry_space_group_name_H-M 'I -4 2 d'
_symmetry_Int_Tables_number 122
_symmetry_space_group_name_Hall 'I -4 2bw'
_cell_length_a 3.923
_cell_length_b 3.923
_cell_length_c 20.729
_cell_angle_alpha 90.00
_cell_angle_beta 90.00
_cell_angle_gamma 90.00
loop_
_atom_site_label
_atom_site_type_symbol
_atom_site_fract_x
_atom_site_fract_y
_atom_site_fract_z
Ta1 Ta 0.248 0.250 0.125
Tl1 Tl 0.000 0.000 0.000
Pd1 Pd 0.000 0.000 0.500